# 1
Computed, not measured: a relaxed structure of Hf9Ni11 at the PBE-GGA level of DFT. Values from VASP.

The structure in Quantum ESPRESSO input format:
```
&SYSTEM
  ibrav = 0, nat = 20, ntyp = 2
/
ATOMIC_SPECIES
Hf 178.49 Hf.upf
Ni 58.69 Ni.upf
CELL_PARAMETERS angstrom
6.442 -3.935 1.297
-1.082 7.486 -1.203
-3.455 -0.789 6.790
ATOMIC_POSITIONS angstrom
Hf 0.000 0.000 0.000
Hf 1.255 3.908 0.782
Hf 4.760 -1.422 2.284
Hf 3.054 1.143 2.612
Hf 0.508 -0.847 3.023
Hf 1.398 3.610 3.861
Hf -1.149 1.620 4.273
Hf -2.854 4.184 4.601
Hf 0.651 -1.145 6.103
Ni 2.680 1.776 0.047
Ni 2.303 -1.073 1.153
Ni -1.019 4.929 -0.089
Ni 4.669 -3.749 3.444
Ni 0.467 1.670 2.186
Ni 2.834 -1.474 4.067
Ni -0.928 4.236 2.817
Ni 1.438 1.093 4.699
Ni -2.763 6.512 3.441
Ni 2.925 -2.166 6.974
Ni -0.397 3.836 5.732
```

The value obtained for the formation energy is -890 kJ/mol of formula units.


# 2
Computed, not measured: a relaxed structure of Hf7Ni10 at the PBE-GGA level of DFT. Values from VASP.

The structure in Quantum ESPRESSO input format:
```
&SYSTEM
  ibrav = 0, nat = 34, ntyp = 2
/
ATOMIC_SPECIES
Hf 178.49 Hf.upf
Ni 58.69 Ni.upf
CELL_PARAMETERS angstrom
9.088 0.000 0.000
0.000 4.537 6.134
0.000 -4.537 6.134
ATOMIC_POSITIONS angstrom
Hf 2.850 2.851 5.470
Hf 4.544 0.000 1.702
Hf 0.000 0.000 3.114
Hf 7.394 1.686 5.470
Hf 2.267 2.294 8.540
Hf 4.544 0.000 5.472
Hf 6.811 2.243 8.540
Hf 1.693 -1.686 5.470
Hf 0.000 0.000 7.837
Hf 4.544 0.000 9.248
Hf 6.237 -2.851 5.470
Hf 2.276 -2.243 8.540
Hf 0.000 0.000 11.606
Hf 6.820 -2.294 8.540
Ni 0.065 2.640 3.696
Ni 5.504 3.571 5.476
Ni 1.891 0.067 1.114
Ni 4.609 1.897 3.696
Ni 7.196 -0.067 1.114
Ni 2.652 0.069 3.699
Ni 0.055 2.645 7.249
Ni 6.435 -0.069 3.699
Ni 0.960 0.966 5.476
Ni 4.599 1.892 7.249
Ni 4.479 -1.897 3.696
Ni 8.127 -0.966 5.476
Ni 2.653 0.067 7.248
Ni 9.022 -2.640 3.696
Ni 6.435 -0.067 7.248
Ni 1.891 0.069 9.833
Ni 4.489 -1.892 7.249
Ni 7.196 -0.069 9.833
Ni 3.584 -3.571 5.476
Ni 9.033 -2.645 7.249
```

The value obtained for the formation energy is -852 kJ/mol of formula units.


# 3
Computed, not measured: a relaxed structure of Hf2Ni7 at the PBE-GGA level of DFT. Values from VASP.

The structure in Quantum ESPRESSO input format:
```
&SYSTEM
  ibrav = 0, nat = 18, ntyp = 2
/
ATOMIC_SPECIES
Hf 178.49 Hf.upf
Ni 58.69 Ni.upf
CELL_PARAMETERS angstrom
2.330 -4.086 0.000
2.330 4.086 0.000
-1.169 0.000 11.997
ATOMIC_POSITIONS angstrom
Hf 0.861 0.000 1.376
Hf 0.806 0.000 4.631
Hf 2.686 0.000 7.365
Hf 2.631 0.000 10.621
Ni 3.170 -1.348 0.934
Ni 3.170 1.348 0.934
Ni 3.162 0.000 2.997
Ni 1.982 -2.034 3.001
Ni 1.982 2.034 3.001
Ni 3.162 -1.338 5.065
Ni 3.162 1.338 5.065
Ni 0.330 -1.338 6.932
Ni 0.330 1.338 6.932
Ni 1.510 -2.034 8.995
Ni 1.510 2.034 8.995
Ni 0.330 0.000 9.000
Ni 0.322 -1.348 11.063
Ni 0.322 1.348 11.063
```

The value obtained for the formation energy is -406 kJ/mol of formula units.


# 4
Computed, not measured: a relaxed structure of HfNpNi at the PBE-GGA level of DFT. Values from VASP.

The structure in Quantum ESPRESSO input format:
```
&SYSTEM
  ibrav = 0, nat = 3, ntyp = 3
/
ATOMIC_SPECIES
Hf 178.49 Hf.upf
Ni 58.69 Ni.upf
Np 237.00 Np.upf
CELL_PARAMETERS angstrom
-4.225 -0.849 -0.881
-3.111 2.886 1.159
-2.111 2.316 -3.087
ATOMIC_POSITIONS angstrom
Hf -7.086 3.264 -2.107
Ni 0.000 0.000 0.000
Np -2.362 1.088 -0.702
```

The value obtained for the formation energy is 179 kJ/mol of formula units.


# 5
Computed, not measured: a relaxed structure of HfNiOs at the PBE-GGA level of DFT. Values from VASP.

The structure in Quantum ESPRESSO input format:
```
&SYSTEM
  ibrav = 0, nat = 3, ntyp = 3
/
ATOMIC_SPECIES
Hf 178.49 Hf.upf
Ni 58.69 Ni.upf
Os 190.23 Os.upf
CELL_PARAMETERS angstrom
-2.728 -3.062 1.143
-1.652 -0.023 3.924
-4.115 0.924 0.583
ATOMIC_POSITIONS angstrom
Hf 0.000 0.000 0.000
Ni -2.124 -0.540 1.412
Os -6.372 -1.621 4.237
```

The value obtained for the formation energy is 145 kJ/mol of formula units.


# 6
Computed, not measured: a relaxed structure of Hf2NiOs at the PBE-GGA level of DFT. Values from VASP.

The structure in Quantum ESPRESSO input format:
```
&SYSTEM
  ibrav = 0, nat = 4, ntyp = 3
/
ATOMIC_SPECIES
Hf 178.49 Hf.upf
Ni 58.69 Ni.upf
Os 190.23 Os.upf
CELL_PARAMETERS angstrom
3.939 -1.992 0.912
0.108 -3.726 2.534
1.004 -3.973 -1.876
ATOMIC_POSITIONS angstrom
Hf 0.000 0.000 0.000
Hf 3.789 -7.268 1.177
Ni 1.263 -2.423 0.392
Os 2.526 -4.846 0.785
```

The value obtained for the formation energy is -36 kJ/mol of formula units.


# 7
Computed, not measured: a relaxed structure of HfNiOs at the PBE-GGA level of DFT. Values from VASP.

The structure in Quantum ESPRESSO input format:
```
&SYSTEM
  ibrav = 0, nat = 3, ntyp = 3
/
ATOMIC_SPECIES
Hf 178.49 Hf.upf
Ni 58.69 Ni.upf
Os 190.23 Os.upf
CELL_PARAMETERS angstrom
0.000 2.936 2.936
2.936 0.000 2.936
2.936 2.936 0.000
ATOMIC_POSITIONS angstrom
Hf 1.468 1.468 1.468
Ni 0.000 0.000 0.000
Os 4.404 4.404 4.404
```

The value obtained for the formation energy is 35 kJ/mol of formula units.


# 8
Computed, not measured: a relaxed structure of HfNiSbOs at the PBE-GGA level of DFT. Values from VASP.

The structure in Quantum ESPRESSO input format:
```
&SYSTEM
  ibrav = 0, nat = 4, ntyp = 4
/
ATOMIC_SPECIES
Hf 178.49 Hf.upf
Ni 58.69 Ni.upf
Os 190.23 Os.upf
Sb 121.76 Sb.upf
CELL_PARAMETERS angstrom
0.276 -2.015 4.104
-2.455 1.615 3.514
-3.548 -2.407 1.613
ATOMIC_POSITIONS angstrom
Hf -1.432 -0.702 2.308
Ni -4.295 -2.105 6.924
Os -2.863 -1.404 4.616
Sb 0.000 0.000 0.000
```


# 9
Computed, not measured: a relaxed structure of HfTlNiOs at the PBE-GGA level of DFT. Values from VASP.

The structure in Quantum ESPRESSO input format:
```
&SYSTEM
  ibrav = 0, nat = 4, ntyp = 4
/
ATOMIC_SPECIES
Hf 178.49 Hf.upf
Ni 58.69 Ni.upf
Os 190.23 Os.upf
Tl 204.38 Tl.upf
CELL_PARAMETERS angstrom
-1.714 -2.270 -3.616
-3.709 1.622 -2.187
0.412 1.764 -4.229
ATOMIC_POSITIONS angstrom
Hf -1.253 0.279 -2.508
Ni -3.758 0.837 -7.525
Os -2.505 0.558 -5.016
Tl 0.000 0.000 0.000
```


# 10
Computed, not measured: a relaxed structure of HfZnNiOs at the PBE-GGA level of DFT. Values from VASP.

The structure in Quantum ESPRESSO input format:
```
&SYSTEM
  ibrav = 0, nat = 4, ntyp = 4
/
ATOMIC_SPECIES
Hf 178.49 Hf.upf
Ni 58.69 Ni.upf
Os 190.23 Os.upf
Zn 65.41 Zn.upf
CELL_PARAMETERS angstrom
2.011 -3.933 0.012
-1.657 -3.336 -2.375
2.121 -1.408 -3.611
ATOMIC_POSITIONS angstrom
Hf 0.619 -2.169 -1.494
Ni 1.856 -6.507 -4.481
Os 1.237 -4.338 -2.987
Zn 0.000 0.000 0.000
```

The value obtained for the formation energy is 9 kJ/mol of formula units.


# 11
Computed, not measured: a relaxed structure of HfNi4P2 at the PBE-GGA level of DFT. Values from VASP.

The structure in Quantum ESPRESSO input format:
```
&SYSTEM
  ibrav = 0, nat = 14, ntyp = 3
/
ATOMIC_SPECIES
Hf 178.49 Hf.upf
Ni 58.69 Ni.upf
P 30.97 P.upf
CELL_PARAMETERS angstrom
-1.337 6.050 3.044
-5.642 -2.712 2.911
1.934 -0.993 2.823
ATOMIC_POSITIONS angstrom
Hf 0.000 0.000 0.000
Hf -2.523 1.173 4.389
Ni -1.492 2.061 1.747
Ni -2.564 -0.121 1.714
Ni -4.415 3.459 4.242
Ni -5.487 1.278 4.209
Ni -0.403 3.303 3.686
Ni -2.141 4.134 5.169
Ni -2.904 -1.789 3.609
Ni -4.642 -0.957 5.092
P -2.549 3.583 3.007
P -4.430 -0.244 2.949
P -0.557 0.233 2.712
P -4.488 2.113 6.066
```


# 12
Computed, not measured: a relaxed structure of Hf3Ni4P4 at the PBE-GGA level of DFT. Values from VASP.

The structure in Quantum ESPRESSO input format:
```
&SYSTEM
  ibrav = 0, nat = 11, ntyp = 3
/
ATOMIC_SPECIES
Hf 178.49 Hf.upf
Ni 58.69 Ni.upf
P 30.97 P.upf
CELL_PARAMETERS angstrom
1.601 -2.802 6.007
-4.569 1.987 4.656
-0.767 -2.737 -6.199
ATOMIC_POSITIONS angstrom
Hf 0.000 0.000 0.000
Hf -0.325 -2.973 2.570
Hf -3.410 -0.579 1.895
Ni 0.304 -1.427 4.388
Ni -2.571 0.804 3.758
Ni -2.883 -1.969 6.187
Ni -1.553 -1.775 0.796
P -0.749 -0.206 2.689
P -2.220 -0.610 7.974
P 0.417 -2.770 -0.096
P -2.668 -0.375 -0.771
```


no.,total energy (eV/atom)
1,-8.00
2,-7.89
3,-7.01
4,-8.81
5,-8.42
6,-9.27
7,-8.80
8,-7.51
9,-6.91
10,-6.98
11,-6.93
12,-7.49